[1]
A relaxed TeWSe crystal, computed with GGA-PBEsol.

Summary:
Calculated volume ... 268.4 Å³ per cell
Symmetry ... P-3m1
Energy above the most stable polymorph in this dataset ... 0.0 meV/atom

Cell: 3.377 3.377 27.185 Å, 90.00 90.00 120.00°
Sites, in units of the cell vectors:
Te 0.333 0.667 0.300
Te 0.333 0.667 0.438
Te 0.667 0.333 0.562
Te 0.667 0.333 0.700
W 0.333 0.667 0.119
W 0.333 0.667 0.631
W 0.667 0.333 0.369
W 0.667 0.333 0.881
Se 0.333 0.667 0.820
Se 0.333 0.667 0.941
Se 0.667 0.333 0.059
Se 0.667 0.333 0.180

---

[2]
A relaxed Li2Ta crystal, computed with GGA-PBEsol.

Summary:
Calculated volume ... 47.9 Å³ per cell
D(E_F) ... 0.48 states/eV per atom
Calculated formation energy ... 594.0 meV per atom
Symmetry ... P6/mmm
Energy above the most stable polymorph in this dataset ... 185.5 meV/atom

Cell: 4.648 4.648 2.561 Å, 90.00 90.00 120.00°
Sites, in units of the cell vectors:
Li 0.333 0.667 0.000
Li 0.667 0.333 0.000
Ta 0.000 0.000 0.500

---

[3]
A relaxed HfTlBiPt2 crystal, computed with GGA-PBEsol.

Summary:
Calculated volume ... 136.7 Å³ per cell
D(E_F) ... 0.63 states/eV per atom
Calculated formation energy ... 533.5 meV per atom
Symmetry ... P4/mmm

Cell: 4.951 4.951 5.579 Å, 90.00 90.00 90.00°
Sites, in units of the cell vectors:
Hf 0.000 0.000 0.000
Tl 0.500 0.500 0.500
Bi 0.000 0.000 0.500
Pt 0.000 0.500 0.000
Pt 0.500 0.000 0.000

---

[4]
A relaxed CoRe2Ni crystal, computed with GGA-PBEsol.

Summary:
Calculated volume ... 49.7 Å³ per cell
D(E_F) ... 1.47 states/eV per atom
Calculated formation energy ... 63.2 meV per atom
Symmetry ... P4/mmm
Energy above the most stable polymorph in this dataset ... 131.9 meV/atom

Cell: 2.585 2.585 7.434 Å, 90.00 90.00 90.00°
Sites, in units of the cell vectors:
Co 0.000 0.000 0.000
Re 0.500 0.500 0.247
Re 0.500 0.500 0.753
Ni 0.000 0.000 0.500

---

[5]
A relaxed ScZnSi2 crystal, computed with GGA-PBEsol.

Summary:
Calculated volume ... 64.2 Å³ per cell
D(E_F) ... 0.56 states/eV per atom
Raw total energy ... -5.1440 eV per atom
Symmetry ... P4/mmm

Cell: 3.337 3.337 5.764 Å, 90.00 90.00 90.00°
Sites, in units of the cell vectors:
Sc 0.000 0.000 0.000
Zn 0.000 0.000 0.500
Si 0.500 0.500 0.287
Si 0.500 0.500 0.713

---

[6]
A relaxed SrMnW crystal, computed with GGA-PBEsol.

Summary:
Calculated volume ... 61.0 Å³ per cell
D(E_F) ... 1.08 states/eV per atom
Calculated formation energy ... 762.9 meV per atom
Symmetry ... I4mm
Energy above the most stable polymorph in this dataset ... 0.0 meV/atom

Cell: 6.412 6.412 6.412 Å, 151.22 151.22 41.15°
Sites, in units of the cell vectors:
Sr 0.000 0.000 0.000
Mn 0.292 0.292 0.000
W 0.717 0.717 0.000

---

[7]
A relaxed Hf2Ge2W crystal, computed with GGA-PBEsol.

Summary:
Calculated volume ... 169.3 Å³ per cell
D(E_F) ... 0.25 states/eV per atom
Calculated formation energy ... -592.3 meV per atom
Symmetry ... P4/mbm

Cell: 6.730 6.730 3.738 Å, 90.00 90.00 90.00°
Sites, in units of the cell vectors:
Hf 0.173 0.327 0.000
Hf 0.327 0.827 0.000
Hf 0.673 0.173 0.000
Hf 0.827 0.673 0.000
Ge 0.132 0.632 0.500
Ge 0.368 0.132 0.500
Ge 0.632 0.868 0.500
Ge 0.868 0.368 0.500
W 0.000 0.000 0.500
W 0.500 0.500 0.500

---

[8]
A relaxed SrTe2Rh crystal, computed with GGA-PBEsol.

Summary:
Calculated volume ... 107.4 Å³ per cell
D(E_F) ... 0.77 states/eV per atom
Symmetry ... Immm
Energy above the most stable polymorph in this dataset ... 76.8 meV/atom

Cell: 5.762 5.762 5.762 Å, 139.73 116.93 77.54°
Sites, in units of the cell vectors:
Sr 0.000 0.000 0.000
Te 0.314 0.814 0.500
Te 0.686 0.186 0.500
Rh 0.500 0.500 0.000

---

[9]
A relaxed RbLiCr2Cu crystal, computed with GGA-PBEsol.

Summary:
Calculated volume ... 114.7 Å³ per cell
D(E_F) ... 0.38 states/eV per atom
Calculated formation energy ... 1351.5 meV per atom
Symmetry ... P4/mmm

Cell: 4.930 4.930 4.719 Å, 90.00 90.00 90.00°
Sites, in units of the cell vectors:
Rb 0.000 0.000 0.000
Li 0.500 0.500 0.500
Cr 0.000 0.500 0.500
Cr 0.500 0.000 0.500
Cu 0.500 0.500 0.000

---

[10]
A relaxed Nb3I8 crystal, computed with GGA-PBEsol.

Summary:
Calculated volume ... 683.2 Å³ per cell
D(E_F) ... 0.20 states/eV per atom
Raw total energy ... -4.7874 eV per atom
Symmetry ... R-3m

Cell: 14.537 14.537 14.537 Å, 30.07 30.07 30.07°
Sites, in units of the cell vectors:
Nb 0.153 0.548 0.548
Nb 0.452 0.452 0.847
Nb 0.452 0.847 0.452
Nb 0.548 0.153 0.548
Nb 0.548 0.548 0.153
Nb 0.847 0.452 0.452
I 0.117 0.117 0.628
I 0.117 0.628 0.117
I 0.205 0.706 0.706
I 0.216 0.216 0.216
I 0.294 0.294 0.795
I 0.294 0.795 0.294
I 0.365 0.365 0.365
I 0.372 0.883 0.883
I 0.628 0.117 0.117
I 0.635 0.635 0.635
I 0.706 0.205 0.706
I 0.706 0.706 0.205
I 0.784 0.784 0.784
I 0.795 0.294 0.294
I 0.883 0.372 0.883
I 0.883 0.883 0.372

---

[11]
A relaxed AsPt2Pb crystal, computed with GGA-PBEsol.

Summary:
Calculated volume ... 73.1 Å³ per cell
D(E_F) ... 0.43 states/eV per atom
Calculated formation energy ... -22.9 meV per atom
Symmetry ... P2/m

Cell: 3.257 3.255 6.898 Å, 90.00 90.23 90.00°
Sites, in units of the cell vectors:
As 0.000 0.000 0.000
Pt 0.499 0.500 0.796
Pt 0.501 0.500 0.204
Pb 0.000 0.000 0.500

---

[12]
A relaxed Li2CrSb crystal, computed with GGA-PBEsol.

Summary:
Calculated volume ... 72.3 Å³ per cell
D(E_F) ... 0.51 states/eV per atom
Raw total energy ... -4.5584 eV per atom
Symmetry ... P2/m

Cell: 3.174 4.773 4.795 Å, 90.00 95.52 90.00°
Sites, in units of the cell vectors:
Li 0.214 0.000 0.250
Li 0.786 0.000 0.750
Cr 0.500 0.500 0.000
Sb 0.000 0.500 0.500